# 1
Computed, not measured: crystalline ZnSi2Hg at its relaxed geometry at the PBE level of DFT.

For the formation energy (no corrections), the calculation gives 362 meV per atom. Its density of states at the Fermi level is 0.283 states/eV/atom. The calculation puts the distance to the lowest polymorph of the same formula at 112 meV/atom.

It has space group P2/m (No. 10), with a = 3.861 Å, b = 4.373 Å, c = 4.778 Å, α = 90.00°, β = 92.78° and γ = 90.00°. The inequivalent atoms are Zn at (0.000, 0.000, 0.000), Si at (0.274, 0.500, 0.162) and Hg at (0.500, 0.000, 0.500).


# 2
Computed, not measured: crystalline ZnSi4Hg2 at its relaxed geometry at the PBE level of DFT.

For the formation energy (no corrections), the calculation gives 849 meV per atom. Its density of states at the Fermi level is 0.509 states/eV/atom.

It has space group I4/mmm (No. 139), with a = 4.750 Å, b = 4.750 Å, c = 13.653 Å, α = 90.00°, β = 90.00° and γ = 90.00°. The inequivalent atoms are Zn at (0.000, 0.000, 0.000), Si at (0.000, 0.000, 0.180), Si at (0.000, 0.500, 0.000) and Hg at (0.000, 0.000, 0.369).


# 3
Computed, not measured: crystalline Zn2SiHg at its relaxed geometry at the PBE level of DFT.

For the formation energy (no corrections), the calculation gives 333 meV per atom. Its density of states at the Fermi level is 0.284 states/eV/atom. The calculation puts the distance to the lowest polymorph of the same formula at 107 meV/atom.

It has space group Immm (No. 71), with a = 3.267 Å, b = 5.362 Å, c = 8.502 Å, α = 90.00°, β = 90.00° and γ = 90.00°. The inequivalent atoms are Zn at (0.000, 0.000, 0.233), Si at (0.000, 0.500, 0.500) and Hg at (0.000, 0.500, 0.000).


# 4
Computed, not measured: crystalline Zn2SiHg at its relaxed geometry at the PBE level of DFT.

For the formation energy (no corrections), the calculation gives 334 meV per atom. Its density of states at the Fermi level is 0.299 states/eV/atom. The calculation puts the distance to the lowest polymorph of the same formula at 109 meV/atom.

It has space group I-4m2 (No. 119), with a = 4.123 Å, b = 4.123 Å, c = 8.376 Å, α = 90.00°, β = 90.00° and γ = 90.00°. The inequivalent atoms are Zn at (0.000, 0.000, 0.000), Zn at (0.000, 0.500, 0.250), Si at (0.000, 0.000, 0.500) and Hg at (0.000, 0.500, 0.750).


- The lowest formation energy (no corrections) belongs to which entry?
  number 3


- Which of these has the highest formation energy (no corrections)?
  ZnSi4Hg2


- Which formula does entry 4 have?
  Zn2SiHg